(1)
Compound: CsCr2AuCl
Source: Alexandria via LeMat-Bulk
Functional: PBEsol
Structure: relaxed

Cell: 4.7585 4.7585 6.3176 Å, 90.00 90.00 90.00°
Closest atoms and distances in Å follow each position.
Fractional positions:
Cs (0.0000, 0.0000, 0.0000)  2 Cl 3.16, 4 Au 3.36
Cr (0.0000, 0.5000, 0.5000)  2 Cl 2.38
Cr (0.5000, 0.0000, 0.5000)  2 Cl 2.38
Au (0.5000, 0.5000, 0.0000)  4 Cs 3.36
Cl (0.0000, 0.0000, 0.5000)  4 Cr 2.38

## Properties
* ρ: 5.4 g cm⁻³
* total DFT energy (no corrections): -4.72 eV/atom
* D(E_F): 0.31 states/eV/atom
* ΔE_f (raw): 0.752 eV per atom

=====

(2)
Compound: CrAuI2Cl
Source: Alexandria via LeMat-Bulk
Functional: PBEsol
Structure: relaxed

Cell: 6.0443 6.0443 4.5223 Å, 90.00 90.00 90.00°
Closest atoms and distances in Å follow each position.
Fractional positions:
Cr (0.0000, 0.0000, 0.0000)  8 I 3.77
Au (0.5000, 0.5000, 0.0000)  2 Cl 2.26
I (0.0000, 0.5000, 0.5000)  2 Cl 3.02
I (0.5000, 0.0000, 0.5000)  2 Cl 3.02
Cl (0.5000, 0.5000, 0.5000)  2 Au 2.26

## Properties
* ρ: 5.4 g cm⁻³
* total DFT energy (no corrections): -3.06 eV/atom
* D(E_F): 1.20 states/eV/atom
* ΔE_f (raw): 0.882 eV per atom

=====

(3)
Compound: CrReAuCl2
Source: Alexandria via LeMat-Bulk
Functional: PBEsol
Structure: relaxed

Cell: 4.4757 4.4757 5.4186 Å, 90.00 90.00 90.00°
Closest atoms and distances in Å follow each position.
Fractional positions:
Cr (0.0000, 0.0000, 0.0000)  4 Au 3.16, 8 Cl 3.51
Re (0.5000, 0.5000, 0.5000)  4 Cl 2.24
Au (0.5000, 0.5000, 0.0000)  2 Re 2.71
Cl (0.0000, 0.5000, 0.5000)  2 Re 2.24
Cl (0.5000, 0.0000, 0.5000)  2 Re 2.24

## Properties
* ρ: 7.7 g cm⁻³
* total DFT energy (no corrections): -5.41 eV/atom
* D(E_F): 0.89 states/eV/atom
* ΔE_f (raw): 0.890 eV per atom